[1]
CeNdIr after structural relaxation, computed with PBE.

Results
- excess energy over the best structure of this formula in the dataset (meV/atom) = 24
- E_form (eV per atom) = -0.5154
- E (eV per atom) = -7.0363

abc: 7.373 4.269 11.258
angles: 90.00 102.76 90.00
Space group C2/m (No. 12)
Inequivalent atoms, fractional coordinates:
Ce: 0.132 0.000 0.392 (multiplicity 4)
Nd: 0.122 0.500 0.867 (multiplicity 4)
Ir: 0.241 0.000 0.726 (multiplicity 4)

=====

[2]
LiPtW2 after structural relaxation, computed with PBE.

Results
- excess energy over the best structure of this formula in the dataset (meV/atom) = 119
- E_form (eV per atom) = 0.1452
- E (eV per atom) = -8.3201

abc: 2.696 4.243 5.239
angles: 90.00 90.00 90.00
Space group Pmmm (No. 47)
Inequivalent atoms, fractional coordinates:
Li: 0.000 0.000 0.000 (multiplicity 1)
Pt: 0.000 0.000 0.500 (multiplicity 1)
W: 0.500 0.500 0.240 (multiplicity 2)

=====

[3]
Ru5Se3 after structural relaxation, computed with PBE.

Results
- excess energy over the best structure of this formula in the dataset (meV/atom) = 43
- uncorrected formation energy (eV per atom) = 0.323
- E (eV per atom) = -6.7809

abc: 6.922 8.491 4.078
angles: 90.00 90.00 90.00
Space group Cmmm (No. 65)
Inequivalent atoms, fractional coordinates:
Ru: 0.000 0.000 0.000 (multiplicity 2)
Ru: 0.221 0.500 0.500 (multiplicity 4)
Ru: 0.250 0.250 0.000 (multiplicity 4)
Se: 0.000 0.193 0.500 (multiplicity 4)
Se: 0.000 0.500 0.000 (multiplicity 2)

=====

[4]
Sr4Tc3O10 after structural relaxation, computed with PBE.

Results
- uncorrected formation energy (eV per atom) = -2.132
- E (eV per atom) = -7.2732

abc: 3.952 3.952 29.023
angles: 90.00 90.00 90.00
Space group I4/mmm (No. 139)
Inequivalent atoms, fractional coordinates:
Sr: 0.000 0.000 0.069 (multiplicity 4)
Sr: 0.000 0.000 0.204 (multiplicity 4)
Tc: 0.000 0.000 0.360 (multiplicity 4)
Tc: 0.000 0.000 0.500 (multiplicity 2)
O: 0.000 0.000 0.288 (multiplicity 4)
O: 0.000 0.000 0.431 (multiplicity 4)
O: 0.000 0.500 0.000 (multiplicity 4)
O: 0.000 0.500 0.140 (multiplicity 8)

=====

> Which value of E does entry 1 give?

-7.0363 eV per atom

=====

> E of number 1 (CeNdIr)?

-7.0363 eV per atom